# CaInRh (GGA-PBE, optimized geometry)
# calculated volume	69.9	Å³ per cell
# raw total energy	-0.1622	Ha/atom
# total moment	0.0000	μB per atom
data_CaInRh
_cell_length_a 4.6230
_cell_length_b 4.6230
_cell_length_c 3.7760
_cell_angle_alpha 90.00
_cell_angle_beta 90.00
_cell_angle_gamma 120.00
_symmetry_space_group_name_H-M 'P -6 m 2'
_symmetry_Int_Tables_number 187
_symmetry_space_group_name_Hall 'P -6 2'
loop_
_atom_site_label
_atom_site_type_symbol
_atom_site_fract_x
_atom_site_fract_y
_atom_site_fract_z
Ca1 Ca 0.0000 0.0000 0.0000
In1 In 0.6667 0.3333 0.5000
Rh1 Rh 0.3333 0.6667 0.5000

=====

# Ca2In6Rh (GGA-PBE, optimized geometry)
# calculated volume	225.8	Å³ per cell
# raw total energy	-0.1261	Ha/atom
# total moment	0.0000	μB per atom
data_Ca2In6Rh
_cell_length_a 6.5701
_cell_length_b 6.5701
_cell_length_c 6.0412
_cell_angle_alpha 90.00
_cell_angle_beta 90.00
_cell_angle_gamma 120.00
_symmetry_space_group_name_H-M 'P -3 m 1'
_symmetry_Int_Tables_number 164
_symmetry_space_group_name_Hall '-P 3 2"'
loop_
_atom_site_label
_atom_site_type_symbol
_atom_site_fract_x
_atom_site_fract_y
_atom_site_fract_z
Ca1 Ca 0.3333 0.6667 0.1783
In1 In 0.1736 0.3472 0.6951
Rh1 Rh 0.0000 0.0000 0.0000

=====

# CaIn3Rh4 (GGA-PBE, optimized geometry)
# calculated volume	139.9	Å³ per cell
# raw total energy	-0.1992	Ha/atom
# total moment	0.0000	μB per atom
data_CaIn3Rh4
_cell_length_a 4.616
_cell_length_b 4.616
_cell_length_c 6.566
_cell_angle_alpha 90.00
_cell_angle_beta 90.00
_cell_angle_gamma 90.00
_symmetry_space_group_name_H-M 'P 4/m m m'
_symmetry_Int_Tables_number 123
_symmetry_space_group_name_Hall '-P 4 2'
loop_
_atom_site_label
_atom_site_type_symbol
_atom_site_fract_x
_atom_site_fract_y
_atom_site_fract_z
Ca1 Ca 0.000 0.000 0.000
In1 In 0.000 0.000 0.500
In2 In 0.500 0.500 0.000
In3 In 0.500 0.500 0.500
Rh1 Rh 0.000 0.500 0.264

=====

# CaIn2Rh (GGA-PBE, optimized geometry)
# calculated volume	726.7	Å³ per cell
# raw total energy	-0.1558	Ha/atom
# total moment	0.0000	μB per atom
data_CaIn2Rh
_cell_length_a 16.001
_cell_length_b 7.952
_cell_length_c 5.711
_cell_angle_alpha 90.00
_cell_angle_beta 90.00
_cell_angle_gamma 90.00
_symmetry_space_group_name_H-M 'P n m a'
_symmetry_Int_Tables_number 62
loop_
_symmetry_equiv_pos_as_xyz
'x,y,z'
'-x,-y,-z'
'-x+1/2,-y,z+1/2'
'x+1/2,y,-z+1/2'
'x+1/2,-y+1/2,-z+1/2'
'-x+1/2,y+1/2,z+1/2'
'-x,y+1/2,-z'
'x,-y+1/2,z'
loop_
_atom_site_label
_atom_site_type_symbol
_atom_site_fract_x
_atom_site_fract_y
_atom_site_fract_z
Ca1 Ca 0.104 0.250 0.246
Ca2 Ca 0.139 0.750 0.458
In1 In 0.039 0.054 0.751
In2 In 0.213 0.551 0.959
Rh1 Rh 0.071 0.750 0.979
Rh2 Rh 0.185 0.250 0.728

=====

Copy entry 2 word for word.
# Ca2In6Rh (GGA-PBE, optimized geometry)
# calculated volume	225.8	Å³ per cell
# raw total energy	-0.1261	Ha/atom
# total moment	0.0000	μB per atom
data_Ca2In6Rh
_cell_length_a 6.5701
_cell_length_b 6.5701
_cell_length_c 6.0412
_cell_angle_alpha 90.00
_cell_angle_beta 90.00
_cell_angle_gamma 120.00
_symmetry_space_group_name_H-M 'P -3 m 1'
_symmetry_Int_Tables_number 164
_symmetry_space_group_name_Hall '-P 3 2"'
loop_
_atom_site_label
_atom_site_type_symbol
_atom_site_fract_x
_atom_site_fract_y
_atom_site_fract_z
Ca1 Ca 0.3333 0.6667 0.1783
In1 In 0.1736 0.3472 0.6951
Rh1 Rh 0.0000 0.0000 0.0000

=====

Copy entry 1 word for word.
# CaInRh (GGA-PBE, optimized geometry)
# calculated volume	69.9	Å³ per cell
# raw total energy	-0.1622	Ha/atom
# total moment	0.0000	μB per atom
data_CaInRh
_cell_length_a 4.6230
_cell_length_b 4.6230
_cell_length_c 3.7760
_cell_angle_alpha 90.00
_cell_angle_beta 90.00
_cell_angle_gamma 120.00
_symmetry_space_group_name_H-M 'P -6 m 2'
_symmetry_Int_Tables_number 187
_symmetry_space_group_name_Hall 'P -6 2'
loop_
_atom_site_label
_atom_site_type_symbol
_atom_site_fract_x
_atom_site_fract_y
_atom_site_fract_z
Ca1 Ca 0.0000 0.0000 0.0000
In1 In 0.6667 0.3333 0.5000
Rh1 Rh 0.3333 0.6667 0.5000

=====

> The lowest calculated volume belongs to which entry?

CaInRh

=====

> What is the formula in the second record?

Ca2In6Rh